No. 1
Entry from Alexandria: a relaxed structure of Cd2Fe2I (PBE).

a b c (Å): 7.121 7.121 3.991
angles (deg): 90.00 90.00 90.00
Site moments in Bohr magnetons follow the coordinates.
Fractional positions:
1 Cd 0.338 0.162 0.500  -0.06
2 Cd 0.838 0.338 0.500  -0.06
3 Cd 0.662 0.838 0.500  -0.06
4 Cd 0.162 0.662 0.500  -0.06
5 I 0.500 0.500 0.000  0.01
6 I 0.000 0.000 0.000  0.01
7 Fe 0.116 0.384 0.000  2.60
8 Fe 0.884 0.616 0.000  2.60
9 Fe 0.384 0.884 0.000  2.60
10 Fe 0.616 0.116 0.000  2.60

Calculated values
Crystal system: tetragonal
Formation energy (no corrections), meV per atom: 515
Polymorph energy (0 for the lowest one), eV per atom: 0.000
M_tot, μB per formula unit: 5.07



No. 2
Entry from Alexandria: a relaxed structure of CdFe2I (PBE).

a b c (Å): 7.329 7.329 6.050
angles (deg): 52.72 52.72 90.00
Site moments in Bohr magnetons follow the coordinates.
Fractional positions:
1 I 0.000 0.000 0.000  0.12
2 I 0.750 0.250 0.500  0.12
3 Cd 0.500 0.500 0.000  -0.03
4 Cd 0.250 0.750 0.500  -0.03
5 Fe 0.375 0.364 0.750  2.90
6 Fe 0.114 0.625 0.250  2.93
7 Fe 0.875 0.886 0.750  2.90
8 Fe 0.636 0.125 0.250  2.93

Calculated values
Crystal system: tetragonal
Formation energy (no corrections), meV per atom: 928
Polymorph energy (0 for the lowest one), eV per atom: 0.000
M_tot, μB per formula unit: 6.03



No. 3
Entry from Alexandria: a relaxed structure of Cd2Fe2I (PBE).

a b c (Å): 3.990 3.990 7.071
angles (deg): 73.61 73.61 90.00
Site moments in Bohr magnetons follow the coordinates.
Fractional positions:
1 Cd 0.250 0.750 0.500  -0.06
2 Cd 0.750 0.250 0.500  -0.06
3 I 0.000 0.000 0.000  0.06
4 Fe 0.589 0.589 0.821  2.71
5 Fe 0.411 0.411 0.179  2.71

Calculated values
Crystal system: tetragonal
Formation energy (no corrections), meV per atom: 591
Polymorph energy (0 for the lowest one), eV per atom: 0.076
M_tot, μB per formula unit: 5.33